# 1
A relaxed structure of LaP2Ru. Source: Alexandria via LeMat-Bulk, functional GGA-PBEsol.

## Properties
Distance to the lowest polymorph of the same formula   610 meV per atom
Formation energy   -0.002 eV per atom

a = 8.2332 Å, b = 8.2332 Å, c = 8.2332 Å
α = 21.96°, β = 21.96°, γ = 21.96°
Last column: nearest neighbours and their distance in Å.
Fractional positions:
La (0.0000, 0.0000, 0.0000)  3 P 3.02, 3 Ru 3.12, 6 La 3.14
P (0.4969, 0.4969, 0.4969)  3 P 2.36, 3 Ru 2.38
P (0.7672, 0.7672, 0.7672)  3 P 2.36
Ru (0.2276, 0.2276, 0.2276)  3 P 2.38

=====

# 2
A relaxed structure of GaFeTeN2. Source: Alexandria via LeMat-Bulk, functional GGA-PBEsol.

## Properties
Distance to the lowest polymorph of the same formula   670 meV per atom

a = 3.7863 Å, b = 3.7863 Å, c = 5.8908 Å
α = 90.00°, β = 90.00°, γ = 90.00°
Last column: nearest neighbours and their distance in Å.
Fractional positions:
Ga (0.0000, 0.0000, 0.0000)  4 N 1.89
Fe (0.5000, 0.5000, 0.5000)  4 Te 2.68
Te (0.0000, 0.0000, 0.5000)  4 Fe 2.68, 2 Ga 2.95
N (0.0000, 0.5000, 0.0000)  2 Ga 1.89
N (0.5000, 0.0000, 0.0000)  2 Ga 1.89

=====

# 3
A relaxed structure of SnSeI2. Source: Alexandria via LeMat-Bulk, functional GGA-PBEsol.

## Properties
Distance to the lowest polymorph of the same formula   28 meV per atom

a = 6.9540 Å, b = 6.9540 Å, c = 6.9540 Å
α = 105.61°, β = 105.61°, γ = 117.50°
Last column: nearest neighbours and their distance in Å.
Fractional positions:
Sn (0.0000, 0.0000, 0.0000)  4 I 3.07
Sn (0.7500, 0.2500, 0.5000)  4 I 3.07
Se (0.2500, 0.7500, 0.5000)  4 I 3.15
Se (0.5000, 0.5000, 0.0000)  4 I 3.15
I (0.1180, 0.6250, 0.9930)  2 Sn 3.07, 2 Se 3.15
I (0.3750, 0.3680, 0.4930)  2 Sn 3.07, 2 Se 3.15
I (0.6320, 0.1250, 0.0070)  2 Sn 3.07, 2 Se 3.15
I (0.8750, 0.8820, 0.5070)  2 Sn 3.07, 2 Se 3.15

=====

# 4
A relaxed structure of Nb2ICl. Source: Alexandria via LeMat-Bulk, functional GGA-PBEsol.

a = 4.6680 Å, b = 4.6680 Å, c = 4.6680 Å
α = 60.00°, β = 60.00°, γ = 60.00°
Last column: nearest neighbours and their distance in Å.
Fractional positions:
Nb (0.2500, 0.2500, 0.2500)  4 Cl 2.86, 4 I 2.86
Nb (0.7500, 0.7500, 0.7500)  4 Cl 2.86, 4 I 2.86
I (0.0000, 0.0000, 0.0000)  8 Nb 2.86
Cl (0.5000, 0.5000, 0.5000)  8 Nb 2.86

=====

# 5
A relaxed structure of CrMoPb2. Source: Alexandria via LeMat-Bulk, functional GGA-PBEsol.

## Properties
Formation energy   0.668 eV per atom

a = 5.4967 Å, b = 5.4967 Å, c = 5.2314 Å
α = 111.03°, β = 111.03°, γ = 33.21°
Last column: nearest neighbours and their distance in Å.
Fractional positions:
Cr (0.0000, 0.0000, 0.0000)  2 Mo 2.29
Mo (0.3463, 0.3463, 0.7430)  2 Cr 2.29
Pb (0.5669, 0.5669, 0.5461)  3 Mo 2.87-3.15, 4 Cr 3.10-3.14, 2 Pb 3.14
Pb (0.7756, 0.7756, 0.1837)  3 Cr 2.87-3.12, 4 Mo 3.10-3.15, 2 Pb 3.14

=====

# 6
A relaxed structure of LiTaAs. Source: Alexandria via LeMat-Bulk, functional GGA-PBEsol.

## Properties
Formation energy   -0.040 eV per atom

a = 6.9280 Å, b = 6.7231 Å, c = 2.8652 Å
α = 81.93°, β = 73.90°, γ = 24.17°
Last column: nearest neighbours and their distance in Å.
Fractional positions:
Li (0.0000, 0.0000, 0.0000)  2 As 2.66, 4 Li 2.87, 2 Ta 2.92
Ta (0.6846, 0.6846, 0.3154)  2 As 2.61, 4 Ta 2.87, 2 Li 2.92
As (0.3401, 0.3401, 0.6599)  2 Ta 2.61, 2 Li 2.66, 4 As 2.87

=====

no.,total energy (eV per atom)
1,-6.78
2,-5.19
3,-2.71
4,-5.93
5,-6.83
6,-6.58